SrCaTc (PBE-GGA, optimized geometry); E above lowest polymorph = 309 meV/atom; energy of formation from the pure elements = 0.98 eV per atom; final energy = -3.704 eV/atom; space group = F-43m (216)
1.0
7.3710 0.0000 0.0000
0.0000 7.3710 0.0000
0.0000 0.0000 7.3710
Sr Ca Tc
4 4 4
Direct
0.0000 0.0000 0.0000
0.0000 0.5000 0.5000
0.5000 0.0000 0.5000
0.5000 0.5000 0.0000
0.0000 0.0000 0.5000
0.0000 0.5000 0.0000
0.5000 0.0000 0.0000
0.5000 0.5000 0.5000
0.2500 0.2500 0.2500
0.2500 0.7500 0.7500
0.7500 0.2500 0.7500
0.7500 0.7500 0.2500